A geometry-optimized LaRhCF2 structure, computed with PBE-GGA.

Unit cell a=3.9613 b=5.0942 c=3.9613 alpha=90.00 beta=90.00 gamma=90.00
Last column: nearest neighbours and their distance in Å.
Sites, in units of the cell vectors:
C  0.0000  0.0000  0.0000  4 F 1.98
F  0.5000  0.0000  0.0000  2 C 1.98
F  0.0000  0.0000  0.5000  2 C 1.98
La  0.0000  0.5000  0.0000  2 C 2.55, 4 Rh 2.80
Rh  0.5000  0.5000  0.5000  4 La 2.80

Calculated values
Its crystal system is tetragonal. For the density, the calculation gives 6.06 g cm⁻³. For the volume, the calculation gives 16.0 Å³/atom. Its electronic total energy is -4.998 eV/atom.

=====

A geometry-optimized Sr4YSb structure, computed with PBE-GGA.

Unit cell a=7.1190 b=7.1190 c=7.1190 alpha=60.00 beta=60.00 gamma=60.00
Last column: nearest neighbours and their distance in Å.
Sites, in units of the cell vectors:
Sr  0.3750  0.3750  0.8749  6 Sr 3.56
Sb  0.0000  0.0000  0.0000  12 Sr 4.17, 4 Y 4.36
Y  0.7500  0.7500  0.7500  12 Sr 4.17, 4 Sb 4.36
Sr  0.3750  0.3750  0.3750  6 Sr 3.56
Sr  0.3750  0.8749  0.3750  6 Sr 3.56
Sr  0.8749  0.3750  0.3750  6 Sr 3.56

Calculated values
Its crystal system is cubic. For the density, the calculation gives 3.65 g cm⁻³. For the volume, the calculation gives 42.5 Å³/atom. Its electronic total energy is -2.586 eV/atom.